one:
! MnInIr3, optimized geometry, DFT GGA-PBE; values from VASP
&SYSTEM
  ibrav = 0, nat = 5, ntyp = 3
/
ATOMIC_SPECIES
Mn 54.94 Mn.upf
In 114.82 In.upf
Ir 192.22 Ir.upf
CELL_PARAMETERS angstrom
4.5066 0.0000 0.0000
0.0000 4.5066 0.0000
0.0000 0.0000 4.5066
ATOMIC_POSITIONS crystal
Mn 0.0000 0.0000 0.0000
In 0.5000 0.5000 0.5000
Ir 0.0000 0.0000 0.5000
Ir 0.0000 0.5000 0.0000
Ir 0.5000 0.0000 0.0000
! DOS(E_F): 0.963 states/eV/atom

=====

two:
! MnInIr3, optimized geometry, DFT GGA-PBE; values from VASP
&SYSTEM
  ibrav = 0, nat = 5, ntyp = 3
/
ATOMIC_SPECIES
Mn 54.94 Mn.upf
In 114.82 In.upf
Ir 192.22 Ir.upf
CELL_PARAMETERS angstrom
4.8088 0.0000 0.0000
0.0000 4.8088 0.0000
0.0000 0.0000 4.8088
ATOMIC_POSITIONS crystal
Mn 0.0000 0.0000 0.0000
In 0.5000 0.5000 0.5000
Ir 0.0000 0.5000 0.5000
Ir 0.5000 0.0000 0.5000
Ir 0.5000 0.5000 0.0000
! DOS(E_F): 2.198 states/eV/atom

=====

What should be chosen as the most stable of them? Choose one.

=====

one:
! Mn2InIr2, optimized geometry, DFT GGA-PBE; values from VASP
&SYSTEM
  ibrav = 0, nat = 10, ntyp = 3
/
ATOMIC_SPECIES
Mn 54.94 Mn.upf
In 114.82 In.upf
Ir 192.22 Ir.upf
CELL_PARAMETERS angstrom
7.3391 0.0000 0.0000
0.0000 7.3391 0.0000
0.0000 0.0000 2.7293
ATOMIC_POSITIONS crystal
Mn 0.1663 0.3337 0.0000
Mn 0.3337 0.8337 0.0000
Mn 0.6663 0.1663 0.0000
Mn 0.8337 0.6663 0.0000
In 0.0000 0.0000 0.5000
In 0.5000 0.5000 0.5000
Ir 0.1279 0.6279 0.5000
Ir 0.3721 0.1279 0.5000
Ir 0.6279 0.8721 0.5000
Ir 0.8721 0.3721 0.5000
! DOS(E_F): 1.610 states/eV/atom

=====

two:
! Mn2InIr2, optimized geometry, DFT GGA-PBE; values from VASP
&SYSTEM
  ibrav = 0, nat = 10, ntyp = 3
/
ATOMIC_SPECIES
Mn 54.94 Mn.upf
In 114.82 In.upf
Ir 192.22 Ir.upf
CELL_PARAMETERS angstrom
7.3416 0.0000 0.0000
0.0000 7.3416 0.0000
0.0000 0.0000 2.7718
ATOMIC_POSITIONS crystal
Mn 0.1124 0.3876 0.0000
Mn 0.3876 0.8876 0.0000
Mn 0.6124 0.1124 0.0000
Mn 0.8876 0.6124 0.0000
In 0.0000 0.0000 0.0000
In 0.5000 0.5000 0.0000
Ir 0.1771 0.6770 0.5000
Ir 0.3230 0.1771 0.5000
Ir 0.6770 0.8230 0.5000
Ir 0.8230 0.3230 0.5000
! DOS(E_F): 1.066 states/eV/atom

=====

What should be chosen as the most stable of them? Choose two.

=====

one:
! InIr2N, optimized geometry, DFT GGA-PBE; values from VASP
&SYSTEM
  ibrav = 0, nat = 4, ntyp = 3
/
ATOMIC_SPECIES
In 114.82 In.upf
Ir 192.22 Ir.upf
N 14.01 N.upf
CELL_PARAMETERS angstrom
0.0000 3.0817 3.0817
3.0817 0.0000 3.0817
3.0817 3.0817 0.0000
ATOMIC_POSITIONS crystal
In 0.0000 0.0000 0.0000
Ir 0.2500 0.2500 0.2500
Ir 0.7500 0.7500 0.7500
N 0.5000 0.5000 0.5000
! DOS(E_F): 1.210 states/eV/atom

=====

two:
! InIr2N, optimized geometry, DFT GGA-PBE; values from VASP
&SYSTEM
  ibrav = 0, nat = 8, ntyp = 3
/
ATOMIC_SPECIES
In 114.82 In.upf
Ir 192.22 Ir.upf
N 14.01 N.upf
CELL_PARAMETERS angstrom
-3.2273 3.2273 2.9767
3.2273 -3.2273 2.9767
3.2273 3.2273 -2.9767
ATOMIC_POSITIONS crystal
In 0.0000 0.0000 0.0000
In 0.7500 0.2500 0.5000
Ir 0.2477 0.6250 0.1227
Ir 0.3750 0.4977 0.6227
Ir 0.5023 0.1250 0.8773
Ir 0.8750 0.7523 0.3773
N 0.2500 0.7500 0.5000
N 0.5000 0.5000 0.0000
! DOS(E_F): 0.083 states/eV/atom

=====

What should be chosen as the most stable of them? Choose two.

=====

one:
! InIrSeN2, optimized geometry, DFT GGA-PBE; values from VASP
&SYSTEM
  ibrav = 0, nat = 5, ntyp = 4
/
ATOMIC_SPECIES
In 114.82 In.upf
Ir 192.22 Ir.upf
Se 78.96 Se.upf
N 14.01 N.upf
CELL_PARAMETERS angstrom
4.0648 0.0000 0.0000
0.0000 4.0648 0.0000
0.0000 0.0000 5.8594
ATOMIC_POSITIONS crystal
In 0.0000 0.0000 0.0000
Ir 0.5000 0.5000 0.5000
Se 0.0000 0.0000 0.5000
N 0.0000 0.5000 0.0000
N 0.5000 0.0000 0.0000
! DOS(E_F): 1.061 states/eV/atom

=====

two:
! InIrSeN2, optimized geometry, DFT GGA-PBE; values from VASP
&SYSTEM
  ibrav = 0, nat = 5, ntyp = 4
/
ATOMIC_SPECIES
In 114.82 In.upf
Ir 192.22 Ir.upf
Se 78.96 Se.upf
N 14.01 N.upf
CELL_PARAMETERS angstrom
3.8999 0.0000 0.0000
0.0000 3.8999 0.0000
0.0000 0.0000 5.7259
ATOMIC_POSITIONS crystal
In 0.0000 0.0000 0.0000
Ir 0.5000 0.5000 0.5000
Se 0.5000 0.5000 0.0000
N 0.0000 0.5000 0.5000
N 0.5000 0.0000 0.5000
! DOS(E_F): 0.503 states/eV/atom

=====

What should be chosen as the most stable of them? Choose two.

=====

one:
! InTcIrN2, optimized geometry, DFT GGA-PBE; values from VASP
&SYSTEM
  ibrav = 0, nat = 5, ntyp = 4
/
ATOMIC_SPECIES
In 114.82 In.upf
Tc 98.00 Tc.upf
Ir 192.22 Ir.upf
N 14.01 N.upf
CELL_PARAMETERS angstrom
3.8326 0.0000 0.0000
0.0000 3.8326 0.0000
0.0000 0.0000 5.3535
ATOMIC_POSITIONS crystal
In 0.0000 0.0000 0.0000
Tc 0.5000 0.5000 0.5000
Ir 0.5000 0.5000 0.0000
N 0.0000 0.5000 0.5000
N 0.5000 0.0000 0.5000
! DOS(E_F): 0.584 states/eV/atom

=====

two:
! InTcIrN2, optimized geometry, DFT GGA-PBE; values from VASP
&SYSTEM
  ibrav = 0, nat = 5, ntyp = 4
/
ATOMIC_SPECIES
In 114.82 In.upf
Tc 98.00 Tc.upf
Ir 192.22 Ir.upf
N 14.01 N.upf
CELL_PARAMETERS angstrom
3.9778 0.0000 0.0000
0.0000 3.9778 0.0000
0.0000 0.0000 5.4816
ATOMIC_POSITIONS crystal
In 0.0000 0.0000 0.0000
Tc 0.5000 0.5000 0.5000
Ir 0.0000 0.0000 0.5000
N 0.0000 0.5000 0.0000
N 0.5000 0.0000 0.0000
! DOS(E_F): 1.476 states/eV/atom

=====

What should be chosen as the most stable of them? Choose one.

=====

one:
! Na2In6Ir, optimized geometry, DFT GGA-PBE; values from VASP
&SYSTEM
  ibrav = 0, nat = 9, ntyp = 3
/
ATOMIC_SPECIES
Na 22.99 Na.upf
In 114.82 In.upf
Ir 192.22 Ir.upf
CELL_PARAMETERS angstrom
8.8327 0.0000 0.0000
-4.4164 7.6494 0.0000
0.0000 0.0000 3.3948
ATOMIC_POSITIONS crystal
Na 0.3333 0.6667 0.0000
Na 0.6667 0.3333 0.0000
In 0.0000 0.3436 0.5000
In 0.0000 0.7451 0.0000
In 0.2549 0.2549 0.0000
In 0.3436 0.0000 0.5000
In 0.6564 0.6564 0.5000
In 0.7451 0.0000 0.0000
Ir 0.0000 0.0000 0.5000
! DOS(E_F): 0.416 states/eV/atom

=====

two:
! Na2In6Ir, optimized geometry, DFT GGA-PBE; values from VASP
&SYSTEM
  ibrav = 0, nat = 9, ntyp = 3
/
ATOMIC_SPECIES
Na 22.99 Na.upf
In 114.82 In.upf
Ir 192.22 Ir.upf
CELL_PARAMETERS angstrom
6.5681 0.0000 0.0000
-3.2840 5.6881 0.0000
0.0000 0.0000 6.1324
ATOMIC_POSITIONS crystal
Na 0.3333 0.6667 0.1739
Na 0.6667 0.3333 0.8261
In 0.1743 0.3487 0.7013
In 0.1743 0.8257 0.7013
In 0.3487 0.1743 0.2987
In 0.6513 0.8257 0.7013
In 0.8257 0.1743 0.2987
In 0.8257 0.6513 0.2987
Ir 0.0000 0.0000 0.0000
! DOS(E_F): 0.461 states/eV/atom

=====

What should be chosen as the most stable of them? Choose two.